An optimized crystal structure of Mn3Ag, computed with PBE.

Calculated values
raw total energy	-7.26	eV per atom
DOS(E_F)	10.16	states/eV/cell
magnetic moment	3.39	μB per formula unit

a b c (Å): 5.5258 5.5258 3.7573
angles (deg): 90.00 90.00 92.94
Site moments in Bohr magnetons follow the coordinates.
Sites, in units of the cell vectors:
1 Mn 0.1266 0.8734 0.2500  -2.99
2 Ag 0.3755 0.6245 0.7500  0.06
3 Ag 0.6245 0.3755 0.2500  0.06
4 Mn 0.1080 0.3541 0.2500  3.09
5 Mn 0.3541 0.1080 0.7500  3.09
6 Mn 0.8920 0.6459 0.7500  3.09
7 Mn 0.6459 0.8920 0.2500  3.09
8 Mn 0.8734 0.1266 0.7500  -2.99